An optimized crystal structure of FeTeO2, computed with GGA+U.

Cell: 7.3088 7.3088 7.3088 Å, 24.27 24.27 24.27°
Closest atoms and distances in Å follow each position.
Atoms (fractional coordinates):
Fe 0.0000 0.0000 0.0000  2 O 1.81
Te 0.5000 0.5000 0.5000  6 O 2.48
O 0.0851 0.0851 0.0851  1 Fe 1.81
O 0.9149 0.9149 0.9149  1 Fe 1.81

* crystal system: trigonal
* space group: R-3m (166)
* energy: -19.2 eV/cell